The following is a PBE-GGA calculation of crystalline Pm2Zn4Ag5 at its relaxed geometry, from Alexandria via LeMat-Bulk.

Properties
Calculated formation energy   -0.163 eV per atom
Calculated density   8.3 g cm⁻³
N(E_F)   0.61 states/eV per atom
Total magnetization   0.000 μB/atom

The structure in POSCAR format:
```
Pm2Zn4Ag5
1.0
-2.7978 4.3137 4.5468
2.7978 -4.3137 4.5468
2.7978 4.3137 -4.5468
Pm Zn Ag
2 4 5
direct
0.2107 0.2107 0.0000
0.7893 0.7893 0.0000
0.0839 0.7441 0.3398
0.4043 0.7441 0.6602
0.5957 0.2559 0.3398
0.9161 0.2559 0.6602
0.0000 0.5000 0.5000
0.3148 0.2516 0.5663
0.3148 0.7484 0.0632
0.6852 0.2516 0.9368
0.6852 0.7484 0.4337
```

***

The following is a PBE-GGA calculation of crystalline Nd6Er5Mg at its relaxed geometry, from Alexandria via LeMat-Bulk.

Properties
Calculated formation energy   0.015 eV per atom
Calculated density   7.4 g cm⁻³
N(E_F)   1.40 states/eV per atom
Total magnetization   0.000 μB/atom

The structure in POSCAR format:
```
Nd6Er5Mg
1.0
-2.5586 4.9350 7.6759
2.5586 -4.9350 7.6759
2.5586 4.9350 -7.6759
Nd Er Mg
6 5 1
direct
0.0801 0.3328 0.7473
0.2475 0.0000 0.2475
0.4145 0.6672 0.7473
0.5855 0.3328 0.2527
0.7525 0.0000 0.7525
0.9199 0.6672 0.2527
0.1694 0.1694 0.0000
0.3353 0.8353 0.5000
0.5000 0.5000 0.0000
0.6647 0.1647 0.5000
0.8306 0.8306 0.0000
0.0000 0.5000 0.5000
```

***

The following is a PBE-GGA calculation of crystalline ThScBe2Si2 at its relaxed geometry, from Alexandria via LeMat-Bulk.

Properties
Uncorrected formation energy   -60 kJ per mole of atoms
Calculated density   5.7 g cm⁻³
N(E_F)   0.69 states/eV per atom
Total magnetization   0.000 μB/atom

The structure in POSCAR format:
```
ThScBe2Si2
1.0
3.8618 0.0000 0.0000
-1.9309 3.3444 0.0000
0.0000 0.0000 7.8906
Th Sc Be Si
1 1 2 2
direct
0.0000 0.0000 0.0000
0.0000 0.0000 0.5000
0.3333 0.6667 0.7274
0.6667 0.3333 0.2726
0.3333 0.6667 0.2738
0.6667 0.3333 0.7262
```